No. 1
Density functional theory data (PBE) for a relaxed ScPt2Cl2 crystal.

```
data_ScPt2Cl2
_symmetry_space_group_name_H-M 'P 1'
_symmetry_Int_Tables_number 1
_cell_length_a 4.287
_cell_length_b 4.287
_cell_length_c 12.815
_cell_angle_alpha 90.00
_cell_angle_beta 90.00
_cell_angle_gamma 120.00
loop_
_symmetry_equiv_pos_as_xyz
'x,y,z'
loop_
_atom_site_label
_atom_site_fract_x
_atom_site_fract_y
_atom_site_fract_z
Cl1 0.333 0.667 0.078
Cl2 0.333 0.667 0.422
Cl3 0.667 0.333 0.578
Cl4 0.667 0.333 0.922
Pt1 0.667 0.333 0.148
Pt2 0.667 0.333 0.352
Pt3 0.333 0.667 0.648
Pt4 0.333 0.667 0.852
Sc1 0.000 0.000 0.250
Sc2 0.000 0.000 0.750
```

Values from the calculation:
For the raw total energy, the calculation gives -48.78 eV/cell.

No. 2
Density functional theory data (PBE) for a relaxed Te2Pt3Cl crystal.

```
data_Te2Pt3Cl
_symmetry_space_group_name_H-M 'P 1'
_symmetry_Int_Tables_number 1
_cell_length_a 5.764
_cell_length_b 5.764
_cell_length_c 4.463
_cell_angle_alpha 90.00
_cell_angle_beta 90.00
_cell_angle_gamma 120.04
loop_
_symmetry_equiv_pos_as_xyz
'x,y,z'
loop_
_atom_site_label
_atom_site_fract_x
_atom_site_fract_y
_atom_site_fract_z
Cl1 0.000 0.000 0.000
Pt1 0.500 0.000 0.500
Pt2 0.000 0.500 0.500
Pt3 0.500 0.500 0.500
Te1 0.667 0.333 0.000
Te2 0.333 0.667 0.000
```

Values from the calculation:
For the raw total energy, the calculation gives -25.58 eV/cell.

No. 3
Density functional theory data (PBE) for a relaxed ZnPtCl6 crystal.

```
data_ZnPtCl6
_symmetry_space_group_name_H-M 'P 1'
_symmetry_Int_Tables_number 1
_cell_length_a 5.995
_cell_length_b 5.996
_cell_length_c 6.472
_cell_angle_alpha 90.03
_cell_angle_beta 117.56
_cell_angle_gamma 119.98
loop_
_symmetry_equiv_pos_as_xyz
'x,y,z'
loop_
_atom_site_label
_atom_site_fract_x
_atom_site_fract_y
_atom_site_fract_z
Cl1 0.160 0.424 0.253
Cl2 0.517 0.093 0.253
Cl3 0.830 0.737 0.253
Cl4 0.170 0.263 0.747
Cl5 0.483 0.907 0.747
Cl6 0.840 0.576 0.747
Pt1 0.000 0.500 0.500
Zn1 0.000 0.000 0.000
```

Values from the calculation:
For the raw total energy, the calculation gives -22.90 eV/cell.

No. 4
Density functional theory data (PBE) for a relaxed Pu2Cl13 crystal.

```
data_Pu2Cl13
_symmetry_space_group_name_H-M 'P 1'
_symmetry_Int_Tables_number 1
_cell_length_a 6.902
_cell_length_b 8.067
_cell_length_c 9.655
_cell_angle_alpha 73.21
_cell_angle_beta 80.30
_cell_angle_gamma 71.68
loop_
_symmetry_equiv_pos_as_xyz
'x,y,z'
loop_
_atom_site_label
_atom_site_fract_x
_atom_site_fract_y
_atom_site_fract_z
Cl1 0.000 0.000 0.000
Cl2 0.411 0.546 0.082
Cl3 0.501 0.026 0.189
Cl4 0.845 0.603 0.190
Cl5 0.860 0.137 0.330
Cl6 0.203 0.715 0.334
Cl7 0.291 0.254 0.487
Cl8 0.709 0.746 0.513
Cl9 0.797 0.285 0.666
Cl10 0.140 0.863 0.670
Cl11 0.155 0.397 0.810
Cl12 0.499 0.974 0.811
Cl13 0.589 0.454 0.918
Pu1 0.848 0.868 0.265
Pu2 0.152 0.132 0.735
```

Values from the calculation:
For the raw total energy, the calculation gives -68.71 eV/cell.

No. 5
Density functional theory data (PBE) for a relaxed PuCl3 crystal.

```
data_PuCl3
_symmetry_space_group_name_H-M 'P 1'
_symmetry_Int_Tables_number 1
_cell_length_a 6.646
_cell_length_b 6.646
_cell_length_c 8.559
_cell_angle_alpha 90.00
_cell_angle_beta 90.00
_cell_angle_gamma 145.81
loop_
_symmetry_equiv_pos_as_xyz
'x,y,z'
loop_
_atom_site_label
_atom_site_fract_x
_atom_site_fract_y
_atom_site_fract_z
Cl1 0.847 0.153 0.067
Cl2 0.591 0.409 0.250
Cl3 0.847 0.153 0.433
Cl4 0.153 0.847 0.567
Cl5 0.409 0.591 0.750
Cl6 0.153 0.847 0.933
Pu1 0.239 0.761 0.250
Pu2 0.761 0.239 0.750
```

Values from the calculation:
For the raw total energy, the calculation gives -54.84 eV/cell.

No. 6
Density functional theory data (PBE) for a relaxed Pu2Cl5 crystal.

```
data_Pu2Cl5
_symmetry_space_group_name_H-M 'P 1'
_symmetry_Int_Tables_number 1
_cell_length_a 8.260
_cell_length_b 8.260
_cell_length_c 7.343
_cell_angle_alpha 97.22
_cell_angle_beta 97.22
_cell_angle_gamma 46.07
loop_
_symmetry_equiv_pos_as_xyz
'x,y,z'
loop_
_atom_site_label
_atom_site_fract_x
_atom_site_fract_y
_atom_site_fract_z
Cl1 0.795 0.034 0.072
Cl2 0.203 0.360 0.180
Cl3 0.428 0.572 0.250
Cl4 0.640 0.797 0.320
Cl5 0.966 0.205 0.428
Cl6 0.034 0.795 0.572
Cl7 0.360 0.203 0.680
Cl8 0.572 0.428 0.750
Cl9 0.797 0.640 0.820
Cl10 0.205 0.966 0.928
Pu1 0.838 0.388 0.085
Pu2 0.612 0.162 0.415
Pu3 0.388 0.838 0.585
Pu4 0.162 0.612 0.915
```

Values from the calculation:
For the raw total energy, the calculation gives -102.52 eV/cell.

No. 7
Density functional theory data (PBE) for a relaxed PuCl crystal.

```
data_PuCl
_symmetry_space_group_name_H-M 'P 1'
_symmetry_Int_Tables_number 1
_cell_length_a 4.472
_cell_length_b 4.472
_cell_length_c 4.472
_cell_angle_alpha 60.00
_cell_angle_beta 60.00
_cell_angle_gamma 60.00
loop_
_symmetry_equiv_pos_as_xyz
'x,y,z'
loop_
_atom_site_label
_atom_site_fract_x
_atom_site_fract_y
_atom_site_fract_z
Cl1 0.000 0.000 0.000
Pu1 0.250 0.250 0.250
```

Values from the calculation:
For the raw total energy, the calculation gives -17.83 eV/cell.

No. 8
Density functional theory data (PBE) for a relaxed RbPu2Cl5 crystal.

```
data_RbPu2Cl5
_symmetry_space_group_name_H-M 'P 1'
_symmetry_Int_Tables_number 1
_cell_length_a 9.110
_cell_length_b 9.110
_cell_length_c 9.110
_cell_angle_alpha 129.77
_cell_angle_beta 129.77
_cell_angle_gamma 73.78
loop_
_symmetry_equiv_pos_as_xyz
'x,y,z'
loop_
_atom_site_label
_atom_site_fract_x
_atom_site_fract_y
_atom_site_fract_z
Cl1 0.000 0.000 0.000
Cl2 0.500 0.500 0.000
Cl3 0.220 0.720 0.196
Cl4 0.476 0.976 0.196
Cl5 0.024 0.220 0.500
Cl6 0.280 0.476 0.500
Cl7 0.720 0.524 0.500
Cl8 0.976 0.780 0.500
Cl9 0.524 0.024 0.804
Cl10 0.780 0.280 0.804
Pu1 0.850 0.350 0.200
Pu2 0.350 0.150 0.500
Pu3 0.650 0.850 0.500
Pu4 0.150 0.650 0.800
Rb1 0.250 0.250 0.000
Rb2 0.750 0.750 0.000
```

Values from the calculation:
For the raw total energy, the calculation gives -106.91 eV/cell.

No. 9
Density functional theory data (PBE) for a relaxed Rb2PuCl5 crystal.

```
data_Rb2PuCl5
_symmetry_space_group_name_H-M 'P 1'
_symmetry_Int_Tables_number 1
_cell_length_a 13.418
_cell_length_b 8.853
_cell_length_c 8.244
_cell_angle_alpha 90.00
_cell_angle_beta 90.00
_cell_angle_gamma 90.00
loop_
_symmetry_equiv_pos_as_xyz
'x,y,z'
loop_
_atom_site_label
_atom_site_fract_x
_atom_site_fract_y
_atom_site_fract_z
Cl1 0.013 0.250 0.097
Cl2 0.329 0.750 0.127
Cl3 0.579 0.538 0.154
Cl4 0.579 0.962 0.154
Cl5 0.305 0.250 0.161
Cl6 0.805 0.250 0.339
Cl7 0.079 0.538 0.346
Cl8 0.079 0.962 0.346
Cl9 0.829 0.750 0.373
Cl10 0.513 0.250 0.403
Cl11 0.487 0.750 0.597
Cl12 0.171 0.250 0.627
Cl13 0.921 0.038 0.654
Cl14 0.921 0.462 0.654
Cl15 0.195 0.750 0.661
Cl16 0.695 0.750 0.839
Cl17 0.421 0.038 0.846
Cl18 0.421 0.462 0.846
Cl19 0.671 0.250 0.873
Cl20 0.987 0.750 0.903
Pu1 0.502 0.250 0.062
Pu2 0.002 0.250 0.438
Pu3 0.998 0.750 0.562
Pu4 0.498 0.750 0.938
Rb1 0.829 0.501 0.044
Rb2 0.829 0.999 0.044
Rb3 0.329 0.501 0.456
Rb4 0.329 0.999 0.456
Rb5 0.671 0.001 0.544
Rb6 0.671 0.499 0.544
Rb7 0.171 0.001 0.956
Rb8 0.171 0.499 0.956
```

Values from the calculation:
For the raw total energy, the calculation gives -165.37 eV/cell.

No. 10
Density functional theory data (PBE) for a relaxed PuSe2Cl2 crystal.

```
data_PuSe2Cl2
_symmetry_space_group_name_H-M 'P 1'
_symmetry_Int_Tables_number 1
_cell_length_a 6.928
_cell_length_b 7.286
_cell_length_c 7.690
_cell_angle_alpha 66.62
_cell_angle_beta 67.68
_cell_angle_gamma 61.61
loop_
_symmetry_equiv_pos_as_xyz
'x,y,z'
loop_
_atom_site_label
_atom_site_fract_x
_atom_site_fract_y
_atom_site_fract_z
Cl1 0.834 0.516 0.233
Cl2 0.419 0.348 0.233
Cl3 0.581 0.652 0.767
Cl4 0.166 0.484 0.767
Pu1 0.155 0.689 0.000
Pu2 0.845 0.311 0.000
Se1 0.252 0.964 0.123
Se2 0.925 0.906 0.318
Se3 0.075 0.094 0.682
Se4 0.748 0.036 0.877
```

Values from the calculation:
For the raw total energy, the calculation gives -62.47 eV/cell.

No. 11
Density functional theory data (PBE) for a relaxed PuSe2Cl2 crystal.

```
data_PuSe2Cl2
_symmetry_space_group_name_H-M 'P 1'
_symmetry_Int_Tables_number 1
_cell_length_a 7.322
_cell_length_b 7.322
_cell_length_c 7.144
_cell_angle_alpha 100.76
_cell_angle_beta 100.76
_cell_angle_gamma 123.32
loop_
_symmetry_equiv_pos_as_xyz
'x,y,z'
loop_
_atom_site_label
_atom_site_fract_x
_atom_site_fract_y
_atom_site_fract_z
Cl1 0.992 0.579 0.240
Cl2 0.579 0.992 0.240
Cl3 0.421 0.008 0.760
Cl4 0.008 0.421 0.760
Pu1 0.842 0.158 0.000
Pu2 0.158 0.842 0.000
Se1 0.334 0.334 0.130
Se2 0.136 0.136 0.326
Se3 0.864 0.864 0.674
Se4 0.666 0.666 0.870
```

Values from the calculation:
For the raw total energy, the calculation gives -62.45 eV/cell.

No. 12
Density functional theory data (PBE) for a relaxed SrPuCl6 crystal.

```
data_SrPuCl6
_symmetry_space_group_name_H-M 'P 1'
_symmetry_Int_Tables_number 1
_cell_length_a 6.786
_cell_length_b 6.786
_cell_length_c 7.436
_cell_angle_alpha 62.86
_cell_angle_beta 62.86
_cell_angle_gamma 60.01
loop_
_symmetry_equiv_pos_as_xyz
'x,y,z'
loop_
_atom_site_label
_atom_site_fract_x
_atom_site_fract_y
_atom_site_fract_z
Cl1 0.227 0.604 0.237
Cl2 0.604 0.932 0.237
Cl3 0.932 0.226 0.237
Cl4 0.068 0.774 0.763
Cl5 0.396 0.068 0.763
Cl6 0.773 0.396 0.763
Pu1 0.000 0.000 0.000
Sr1 0.500 0.500 0.500
```

Values from the calculation:
For the raw total energy, the calculation gives -42.73 eV/cell.

No. 13
Density functional theory data (PBE) for a relaxed YPuCl6 crystal.

```
data_YPuCl6
_symmetry_space_group_name_H-M 'P 1'
_symmetry_Int_Tables_number 1
_cell_length_a 7.009
_cell_length_b 7.009
_cell_length_c 6.455
_cell_angle_alpha 100.55
_cell_angle_beta 100.55
_cell_angle_gamma 119.92
loop_
_symmetry_equiv_pos_as_xyz
'x,y,z'
loop_
_atom_site_label
_atom_site_fract_x
_atom_site_fract_y
_atom_site_fract_z
Cl1 0.938 0.587 0.240
Cl2 0.573 0.932 0.241
Cl3 0.228 0.220 0.245
Cl4 0.780 0.772 0.755
Cl5 0.068 0.427 0.759
Cl6 0.413 0.062 0.760
Pu1 0.834 0.166 0.000
Y1 0.166 0.834 0.000
```

Values from the calculation:
For the raw total energy, the calculation gives -48.49 eV/cell.

No. 14
Density functional theory data (PBE) for a relaxed RbReCl4 crystal.

```
data_RbReCl4
_symmetry_space_group_name_H-M 'P 1'
_symmetry_Int_Tables_number 1
_cell_length_a 9.166
_cell_length_b 9.166
_cell_length_c 12.236
_cell_angle_alpha 90.00
_cell_angle_beta 90.00
_cell_angle_gamma 70.42
loop_
_symmetry_equiv_pos_as_xyz
'x,y,z'
loop_
_atom_site_label
_atom_site_fract_x
_atom_site_fract_y
_atom_site_fract_z
Cl1 0.125 0.125 0.035
Cl2 0.648 0.648 0.051
Cl3 0.589 0.020 0.121
Cl4 0.020 0.589 0.121
Cl5 0.835 0.401 0.250
Cl6 0.473 0.473 0.250
Cl7 0.401 0.835 0.250
Cl8 0.929 0.929 0.250
Cl9 0.589 0.020 0.379
Cl10 0.020 0.589 0.379
Cl11 0.648 0.648 0.449
Cl12 0.125 0.125 0.465
Cl13 0.875 0.875 0.535
Cl14 0.352 0.352 0.551
Cl15 0.980 0.411 0.621
Cl16 0.411 0.980 0.621
Cl17 0.071 0.071 0.750
Cl18 0.599 0.165 0.750
Cl19 0.527 0.527 0.750
Cl20 0.165 0.599 0.750
Cl21 0.980 0.411 0.879
Cl22 0.411 0.980 0.879
Cl23 0.352 0.352 0.949
Cl24 0.875 0.875 0.965
Rb1 0.750 0.250 0.000
Rb2 0.250 0.750 0.000
Rb3 0.253 0.253 0.250
Rb4 0.750 0.250 0.500
Rb5 0.250 0.750 0.500
Rb6 0.747 0.747 0.750
Re1 0.789 0.789 0.150
Re2 0.648 0.648 0.250
Re3 0.789 0.789 0.350
Re4 0.211 0.211 0.650
Re5 0.352 0.352 0.750
Re6 0.211 0.211 0.850
```

Values from the calculation:
For the raw total energy, the calculation gives -164.45 eV/cell.

No. 15
Density functional theory data (PBE) for a relaxed RbTaCl6 crystal.

```
data_RbTaCl6
_symmetry_space_group_name_H-M 'P 1'
_symmetry_Int_Tables_number 1
_cell_length_a 6.847
_cell_length_b 6.847
_cell_length_c 12.231
_cell_angle_alpha 100.42
_cell_angle_beta 100.42
_cell_angle_gamma 56.09
loop_
_symmetry_equiv_pos_as_xyz
'x,y,z'
loop_
_atom_site_label
_atom_site_fract_x
_atom_site_fract_y
_atom_site_fract_z
Cl1 0.098 0.200 0.033
Cl2 0.527 0.312 0.105
Cl3 0.618 0.809 0.165
Cl4 0.191 0.382 0.335
Cl5 0.688 0.473 0.395
Cl6 0.800 0.902 0.467
Cl7 0.200 0.098 0.533
Cl8 0.312 0.527 0.605
Cl9 0.809 0.618 0.665
Cl10 0.382 0.191 0.835
Cl11 0.473 0.688 0.895
Cl12 0.902 0.800 0.967
Rb1 0.091 0.909 0.250
Rb2 0.909 0.091 0.750
Ta1 0.500 0.000 0.000
Ta2 0.000 0.500 0.500
```

Values from the calculation:
For the relative energy among the computed polymorphs, the calculation gives 0 meV per atom.

No. 16
Density functional theory data (PBE) for a relaxed RbTaCl6 crystal.

```
data_RbTaCl6
_symmetry_space_group_name_H-M 'P 1'
_symmetry_Int_Tables_number 1
_cell_length_a 6.387
_cell_length_b 6.387
_cell_length_c 6.425
_cell_angle_alpha 101.26
_cell_angle_beta 101.26
_cell_angle_gamma 100.59
loop_
_symmetry_equiv_pos_as_xyz
'x,y,z'
loop_
_atom_site_label
_atom_site_fract_x
_atom_site_fract_y
_atom_site_fract_z
Cl1 0.730 0.069 0.229
Cl2 0.069 0.730 0.229
Cl3 0.271 0.271 0.438
Cl4 0.729 0.729 0.562
Cl5 0.931 0.270 0.771
Cl6 0.270 0.931 0.771
Rb1 0.500 0.500 0.000
Ta1 0.000 0.000 0.500
```

Values from the calculation:
For the relative energy among the computed polymorphs, the calculation gives 3 meV per atom.

No. 17
Density functional theory data (PBE) for a relaxed Rb2TlTcCl6 crystal.

```
data_Rb2TlTcCl6
_symmetry_space_group_name_H-M 'P 1'
_symmetry_Int_Tables_number 1
_cell_length_a 7.612
_cell_length_b 7.612
_cell_length_c 7.612
_cell_angle_alpha 60.00
_cell_angle_beta 60.00
_cell_angle_gamma 60.00
loop_
_symmetry_equiv_pos_as_xyz
'x,y,z'
loop_
_atom_site_label
_atom_site_fract_x
_atom_site_fract_y
_atom_site_fract_z
Cl1 0.776 0.224 0.224
Cl2 0.224 0.776 0.224
Cl3 0.776 0.776 0.224
Cl4 0.224 0.224 0.776
Cl5 0.776 0.224 0.776
Cl6 0.224 0.776 0.776
Rb1 0.250 0.250 0.250
Rb2 0.750 0.750 0.750
Tc1 0.000 0.000 0.000
Tl1 0.500 0.500 0.500
```

Values from the calculation:
For the raw total energy, the calculation gives -37.88 eV/cell.

No. 18
Density functional theory data (PBE) for a relaxed Rb2TlZnCl6 crystal.

```
data_Rb2TlZnCl6
_symmetry_space_group_name_H-M 'P 1'
_symmetry_Int_Tables_number 1
_cell_length_a 7.414
_cell_length_b 7.414
_cell_length_c 7.414
_cell_angle_alpha 60.00
_cell_angle_beta 60.00
_cell_angle_gamma 60.00
loop_
_symmetry_equiv_pos_as_xyz
'x,y,z'
loop_
_atom_site_label
_atom_site_fract_x
_atom_site_fract_y
_atom_site_fract_z
Cl1 0.765 0.235 0.235
Cl2 0.235 0.765 0.235
Cl3 0.765 0.765 0.235
Cl4 0.235 0.235 0.765
Cl5 0.765 0.235 0.765
Cl6 0.235 0.765 0.765
Rb1 0.250 0.250 0.250
Rb2 0.750 0.750 0.750
Tl1 0.500 0.500 0.500
Zn1 0.000 0.000 0.000
```

Values from the calculation:
For the raw total energy, the calculation gives -29.90 eV/cell.

No. 19
Density functional theory data (PBE) for a relaxed RbTm2Cl2 crystal.

```
data_RbTm2Cl2
_symmetry_space_group_name_H-M 'P 1'
_symmetry_Int_Tables_number 1
_cell_length_a 6.907
_cell_length_b 6.907
_cell_length_c 6.907
_cell_angle_alpha 131.09
_cell_angle_beta 131.09
_cell_angle_gamma 71.66
loop_
_symmetry_equiv_pos_as_xyz
'x,y,z'
loop_
_atom_site_label
_atom_site_fract_x
_atom_site_fract_y
_atom_site_fract_z
Cl1 0.500 0.000 0.500
Cl2 0.000 0.500 0.500
Rb1 0.000 0.000 0.000
Tm1 0.353 0.353 0.000
Tm2 0.647 0.647 0.000
```

Values from the calculation:
For the raw total energy, the calculation gives -15.12 eV/cell.